Crystalline SmCuPbSe3 at its relaxed geometry, computed with PBE-GGA.

Properties
The calculated total energy comes out at -28.22 eV per formula unit.

Lattice parameters (Å, degrees): 9.6423 9.6423 8.3048 103.10 103.10 24.71
With the nearest neighbours (Å) after each atom.
Fractional coordinates of all 12 atoms:
Cu 0.5407 0.5407 0.2048  4 Se 2.45-2.73
Cu 0.4593 0.4593 0.7952  4 Se 2.45-2.73
Pb 0.8782 0.8782 0.4327  6 Se 3.04-3.14
Pb 0.1218 0.1218 0.5673  6 Se 3.04-3.14
Se 0.0000 0.0000 0.0000  4 Cu 2.67, 2 Sm 2.95
Se 0.3229 0.3229 0.1529  3 Sm 2.91-2.97, 2 Pb 3.10
Se 0.6716 0.6716 0.3307  1 Cu 2.45
Se 0.5000 0.5000 0.5000  2 Cu 2.73, 4 Pb 3.04
Se 0.3284 0.3284 0.6693  1 Cu 2.45
Se 0.6771 0.6771 0.8471  3 Sm 2.91-2.97, 2 Pb 3.10
Sm 0.1609 0.1609 0.0829  6 Se 2.89-2.97
Sm 0.8391 0.8391 0.9171  6 Se 2.89-2.97